Sr2Au | GGA-PBEsol | optimized geometry

## Properties
- VASP energy (Ry/atom) = -0.2225
- space-group type = No. 205

abc: 7.6287 7.6287 7.6287
angles: 90.00 90.00 90.00
Atoms (fractional coordinates):
1 Sr 0.1611 0.1611 0.1611
2 Sr 0.1611 0.3389 0.6611
3 Sr 0.3389 0.6611 0.1611
4 Sr 0.3389 0.8389 0.6611
5 Sr 0.6611 0.1611 0.3389
6 Sr 0.6611 0.3389 0.8389
7 Sr 0.8389 0.6611 0.3389
8 Sr 0.8389 0.8389 0.8389
9 Au 0.0000 0.0000 0.5000
10 Au 0.0000 0.5000 0.0000
11 Au 0.5000 0.0000 0.0000
12 Au 0.5000 0.5000 0.5000